[1]
# Nd7Tm PBE-GGA optimized geometry
data_Nd7Tm
_cell_length_a 10.3334
_cell_length_b 10.3334
_cell_length_c 10.3334
_cell_angle_alpha 90.00
_cell_angle_beta 90.00
_cell_angle_gamma 90.00
_space_group_name_H-M_alt 'F m -3 m'
_space_group_IT_number 225
_space_group_name_Hall '-F 4 2 3'
loop_
_atom_site_label
_atom_site_type_symbol
_atom_site_fract_x
_atom_site_fract_y
_atom_site_fract_z
_atom_site_occupancy
Nd1 Nd 0.0000 0.0000 0.0000 1
Nd2 Nd 0.0000 0.2500 0.2500 1
Tm1 Tm 0.0000 0.0000 0.5000 1
# * DOS at the Fermi energy: 1.233 states/eV/atom
# * energy of formation: 9 meV/atom

[2]
# TlP2Rh PBE-GGA optimized geometry
data_TlP2Rh
_cell_length_a 5.2140
_cell_length_b 5.2140
_cell_length_c 5.4053
_cell_angle_alpha 90.00
_cell_angle_beta 90.00
_cell_angle_gamma 90.00
_space_group_name_H-M_alt 'I 4/m m m'
_space_group_IT_number 139
_space_group_name_Hall '-I 4 2'
loop_
_atom_site_label
_atom_site_type_symbol
_atom_site_fract_x
_atom_site_fract_y
_atom_site_fract_z
_atom_site_occupancy
Tl1 Tl 0.0000 0.0000 0.0000 1
P1 P 0.0000 0.5000 0.0000 1
Rh1 Rh 0.0000 0.0000 0.5000 1
# * DOS at the Fermi energy: 0.854 states/eV/atom
# * relative energy among the computed polymorphs: 579 meV/atom
# * energy of formation: 411 meV/atom

[3]
# NdPaSnAu PBE-GGA optimized geometry
data_NdPaSnAu
_cell_length_a 7.5276
_cell_length_b 7.5276
_cell_length_c 7.5276
_cell_angle_alpha 90.00
_cell_angle_beta 90.00
_cell_angle_gamma 90.00
_space_group_name_H-M_alt 'F -4 3 m'
_space_group_IT_number 216
_space_group_name_Hall 'F -4 2 3'
loop_
_atom_site_label
_atom_site_type_symbol
_atom_site_fract_x
_atom_site_fract_y
_atom_site_fract_z
_atom_site_occupancy
Nd1 Nd 0.0000 0.0000 0.0000 1
Pa1 Pa 0.0000 0.0000 0.5000 1
Sn1 Sn 0.2500 0.2500 0.7500 1
Au1 Au 0.2500 0.2500 0.2500 1
# * DOS at the Fermi energy: 2.145 states/eV/atom
# * energy of formation: -312 meV/atom

[4]
# Y6In2H PBE-GGA optimized geometry
data_Y6In2H
_cell_length_a 6.4157
_cell_length_b 8.1672
_cell_length_c 11.4756
_cell_angle_alpha 90.00
_cell_angle_beta 123.79
_cell_angle_gamma 90.00
_space_group_name_H-M_alt 'P 1 21/c 1'
_space_group_IT_number 14
loop_
_space_group_symop_operation_xyz
'x,y,z'
'-x,-y,-z'
'-x,y+1/2,-z+1/2'
'x,-y+1/2,z+1/2'
loop_
_atom_site_label
_atom_site_type_symbol
_atom_site_fract_x
_atom_site_fract_y
_atom_site_fract_z
_atom_site_occupancy
Y1 Y 0.0955 0.1878 0.4488 1
Y2 Y 0.3007 0.6750 0.4489 1
Y3 Y 0.3636 0.0291 0.2532 1
In1 In 0.1770 0.1160 0.7458 1
H1 H 0.0000 0.0000 0.0000 1
# * DOS at the Fermi energy: 1.292 states/eV/atom
# * energy: -5.53 eV per atom